Sr2Ga4Co: relaxed, PBE-GGA.

The structure belongs to space group I4/mmm (No. 139); the cell edges are 4.597, 4.597 and 16.406 Å and the angles 90.00°, 90.00° and 90.00°. Symmetry generates all atoms from Sr at (0.000, 0.000, 0.159), Ga at (0.000, 0.000, 0.356), Ga at (0.000, 0.500, 0.000) and Co at (0.000, 0.000, 0.500).

The formation energy comes out at -0.30 eV/atom. The value obtained for the total energy is -49.378 eV for the cell shown.